[1]
# MgGeH2

MgGeH2 after structural relaxation (PBE-GGA, Alexandria).

Values from the calculation:
**Relative energy among the computed polymorphs**: 0 meV per atom
**Size of the total moment**: 0.00 μB/f.u.
**Calculated density**: 3.2 g/cm³
**Crystal system**: tetragonal

Unit cell a=4.855 b=4.855 c=8.823 alpha=90.00 beta=90.00 gamma=90.00
Space group I-42d (No. 122)
Asymmetric unit:
1 Mg 0.000 0.000 0.000 x4
2 Ge 0.000 0.000 0.500 x4
3 H 0.178 0.250 0.125 x8

=====

[2]
# MgGe2H8

MgGe2H8 after structural relaxation (PBE-GGA, Alexandria).

Values from the calculation:
**Size of the total moment**: 0.00 μB/f.u.
**Calculated density**: 2.5 g/cm³
**Calculated total energy**: -3.1640 eV per atom
**Crystal system**: monoclinic

Unit cell a=10.278 b=4.350 c=5.304 alpha=90.00 beta=101.67 gamma=90.00
Space group C2/m (No. 12)
Asymmetric unit:
1 Mg 0.000 0.000 0.000 x2
2 Ge 0.205 0.000 0.645 x4
3 H 0.099 0.000 0.345 x4
4 H 0.138 0.270 0.777 x8
5 H 0.139 0.500 0.188 x4

=====

[3]
# Na2MgGeH

Na2MgGeH after structural relaxation (PBE-GGA, Alexandria).

Values from the calculation:
**Size of the total moment**: 0.00 μB/f.u.
**Calculated density**: 2.6 g/cm³
**Calculated total energy**: -2.4673 eV per atom
**Crystal system**: tetragonal

Unit cell a=4.331 b=4.331 c=4.821 alpha=90.00 beta=90.00 gamma=90.00
Space group P4/mmm (No. 123)
Asymmetric unit:
1 Na 0.000 0.500 0.000 x2
2 Mg 0.000 0.000 0.500 x1
3 Ge 0.500 0.500 0.500 x1
4 H 0.000 0.000 0.000 x1

=====

[4]
# NdMgGeH

NdMgGeH after structural relaxation (PBE-GGA, Alexandria).

Values from the calculation:
**Size of the total moment**: 0.00 μB/f.u.
**Calculated density**: 5.6 g/cm³
**Calculated total energy**: -4.2011 eV per atom
**Crystal system**: tetragonal

Unit cell a=4.262 b=4.262 c=7.977 alpha=90.00 beta=90.00 gamma=90.00
Space group P4/nmm (No. 129, origin choice 2)
Asymmetric unit:
1 Nd 0.250 0.250 0.140 x2
2 Mg 0.250 0.750 0.500 x2
3 Ge 0.250 0.250 0.719 x2
4 H 0.250 0.750 0.000 x2

=====

[5]
# MgNi2GeH

MgNi2GeH after structural relaxation (PBE-GGA, Alexandria).

Values from the calculation:
**Size of the total moment**: 0.00 μB/f.u.
**Calculated density**: 6.0 g/cm³
**Calculated total energy**: -4.5202 eV per atom
**Crystal system**: orthorhombic

Unit cell a=3.268 b=10.518 c=6.954 alpha=90.00 beta=90.00 gamma=90.00
Space group Cmcm (No. 63)
Asymmetric unit:
1 Mg 0.000 0.026 0.250 x4
2 Ni 0.000 0.350 0.049 x8
3 Ge 0.000 0.244 0.750 x4
4 H 0.000 0.500 0.000 x4

=====

[6]
# Mg2Ni5Ge3H2

Mg2Ni5Ge3H2 after structural relaxation (PBE-GGA, Alexandria).

Values from the calculation:
**Size of the total moment**: 0.00 μB/f.u.
**Calculated density**: 6.5 g/cm³
**Calculated total energy**: -4.6050 eV per atom
**Crystal system**: tetragonal

Unit cell a=3.777 b=3.777 c=20.195 alpha=90.00 beta=90.00 gamma=90.00
Space group I4/mmm (No. 139)
Asymmetric unit:
1 Mg 0.000 0.000 0.198 x4
2 Ni 0.000 0.000 0.000 x2
3 Ni 0.000 0.500 0.088 x8
4 Ge 0.000 0.000 0.334 x4
5 Ge 0.000 0.000 0.500 x2
6 H 0.000 0.000 0.082 x4